DFT (PBE) results for a relaxed structure of LiLa2Al.

abc: 11.8030 11.8030 11.8030
angles: 157.44 157.44 32.12
Sites, in units of the cell vectors:
1 Li 0.0000 0.0000 0.0000
2 Li 0.7500 0.2500 0.5000
3 La 0.1552 0.6250 0.0302
4 La 0.3750 0.4052 0.5302
5 La 0.5948 0.1250 0.9698
6 La 0.8750 0.8448 0.4698
7 Al 0.2500 0.7500 0.5000
8 Al 0.5000 0.5000 0.0000


DFT (PBE) results for a relaxed structure of Li2La3Al7.

abc: 9.5561 9.5561 9.5561
angles: 34.78 34.78 34.78
Sites, in units of the cell vectors:
1 Li 0.1647 0.1647 0.1647
2 Li 0.8353 0.8353 0.8353
3 La 0.3595 0.3595 0.3595
4 La 0.5000 0.5000 0.5000
5 La 0.6405 0.6405 0.6405
6 Al 0.0000 0.0000 0.0000
7 Al 0.0843 0.0843 0.5751
8 Al 0.0843 0.5751 0.0843
9 Al 0.4249 0.9157 0.9157
10 Al 0.5751 0.0843 0.0843
11 Al 0.9157 0.4249 0.9157
12 Al 0.9157 0.9157 0.4249


DFT (PBE) results for a relaxed structure of LiLa2Al.

abc: 3.5369 3.5369 8.5843
angles: 90.00 90.00 90.00
Sites, in units of the cell vectors:
1 Li 0.0000 0.0000 0.0000
2 La 0.0000 0.0000 0.4013
3 La 0.5000 0.5000 0.7291
4 Al 0.5000 0.5000 0.1466


DFT (PBE) results for a relaxed structure of LiLa2Al3.

abc: 9.5363 9.0630 6.0802
angles: 75.19 66.75 38.05
Sites, in units of the cell vectors:
1 Li 0.1690 0.1690 0.8310
2 Li 0.8310 0.8310 0.1690
3 La 0.2337 0.7663 0.7663
4 La 0.2500 0.2500 0.2500
5 La 0.7500 0.7500 0.7500
6 La 0.7663 0.2337 0.2337
7 Al 0.1775 0.6579 0.3421
8 Al 0.3373 0.3373 0.6627
9 Al 0.3421 0.8225 0.1775
10 Al 0.6579 0.1775 0.8225
11 Al 0.6627 0.6627 0.3373
12 Al 0.8225 0.3421 0.6579


| no. | formation enthalpy at 0 K (eV per atom) |
| --- | --- |
| 1 | 0.3271 |
| 2 | -0.4176 |
| 3 | -0.0440 |
| 4 | -0.3386 |